No. 1
{
  "formula": "Sr3InRh3",
  "functional": "PBE",
  "state": "relaxed",
  "dft_energy_ev_per_atom": -4.653,
  "space_group": "Cmcm",
  "lattice_angstrom": [[4.4772, 0.0000, 0.0000], [-2.2386, 5.5869, 0.0000], [0.0000, 0.0000, 14.2554]],
  "species": ["Sr", "Sr", "Sr", "Sr", "Sr", "Sr", "In", "In", "Rh", "Rh", "Rh", "Rh", "Rh", "Rh"],
  "frac_coords": [[0.2126, 0.4251, 0.8921], [0.7874, 0.5749, 0.1079], [0.2126, 0.4251, 0.6079], [0.7874, 0.5749, 0.3921], [0.4965, 0.9930, 0.7500], [0.5035, 0.0070, 0.2500], [0.5000, 0.0000, 0.0000], [0.5000, 0.0000, 0.5000], [0.9240, 0.8479, 0.9077], [0.0760, 0.1521, 0.0923], [0.9240, 0.8479, 0.5923], [0.0760, 0.1521, 0.4077], [0.8053, 0.6106, 0.7500], [0.1947, 0.3894, 0.2500]]
}

No. 2
{
  "formula": "Sr3In7Rh4",
  "functional": "PBE",
  "state": "relaxed",
  "dft_energy_ev_per_atom": -4.258,
  "space_group": "C2/m",
  "lattice_angstrom": [[-2.6674, -1.0512, -3.5018], [-1.8303, -8.5876, 1.0476], [-8.4029, -1.1517, 3.8219]],
  "species": ["Sr", "Sr", "Sr", "In", "In", "In", "In", "In", "In", "In", "Rh", "Rh", "Rh", "Rh"],
  "frac_coords": [[0.3107, 0.1786, 0.2000], [0.6893, 0.8214, 0.8000], [0.0000, 0.5000, 0.5000], [0.3149, 0.8394, 0.5309], [0.4956, 0.2295, 0.7794], [0.8357, 0.4018, 0.9269], [0.6851, 0.1606, 0.4691], [0.1643, 0.5982, 0.0731], [0.0000, 0.0000, 0.0000], [0.5044, 0.7705, 0.2206], [0.6644, 0.4527, 0.2184], [0.3356, 0.5473, 0.7816], [0.8853, 0.9010, 0.3285], [0.1147, 0.0990, 0.6715]]
}

No. 3
{
  "formula": "Sr3In2Rh",
  "functional": "PBE",
  "state": "relaxed",
  "dft_energy_ev_per_atom": -3.304,
  "space_group": "C2/c",
  "lattice_angstrom": [[7.1234, 0.4259, 1.5306], [0.0895, 7.1355, 1.5306], [0.2971, 0.3115, 8.3791]],
  "species": ["Sr", "Sr", "Sr", "Sr", "Sr", "Sr", "In", "In", "In", "In", "Rh", "Rh"],
  "frac_coords": [[0.4095, 0.5905, 0.2500], [0.5905, 0.4095, 0.7500], [0.0861, 0.2457, 0.0239], [0.7543, 0.9139, 0.4761], [0.9139, 0.7543, 0.9761], [0.2457, 0.0861, 0.5239], [0.9252, 0.4544, 0.3737], [0.5456, 0.0748, 0.1263], [0.4544, 0.9252, 0.8737], [0.0748, 0.5456, 0.6263], [0.7124, 0.2876, 0.2500], [0.2876, 0.7124, 0.7500]]
}

No. 4
{
  "formula": "SrInRh2",
  "functional": "PBE",
  "state": "relaxed",
  "dft_energy_ev_per_atom": -4.927,
  "space_group": "Pm",
  "lattice_angstrom": [[-0.6063, -2.0837, 3.8818], [-1.1720, -2.7976, -1.6847], [4.4714, -3.3338, -1.0911]],
  "species": ["In", "Rh", "Rh", "Sr"],
  "frac_coords": [[0.5000, 0.7635, 0.8452], [0.0000, 0.2019, 0.9627], [0.5000, 0.0620, 0.2550], [0.0000, 0.4726, 0.4371]]
}

It is found that the total magnetic moment values, taken in the order of the records, are 0.0 0.0 0.0 0.0 μB/cell.